KDyZnO3 | GGA-PBE | optimized geometry

The space group is P2_1/m (11). For the total energy, the calculation gives -0.21599 Ha/atom. The calculation puts the uncorrected formation energy at -13.42 eV/f.u.

Geometry as POSCAR:
```
KDyZnO3
1.0
-0.401 -3.192 1.446
3.895 -2.983 -5.506
5.576 2.417 6.882
O Zn Dy K
6 2 2 2
direct
0.750 0.888 0.156
0.750 0.169 0.586
0.750 0.461 0.116
0.250 0.112 0.844
0.250 0.831 0.414
0.250 0.539 0.884
0.250 0.042 0.619
0.750 0.958 0.381
0.250 0.667 0.145
0.750 0.333 0.855
0.750 0.806 0.830
0.250 0.194 0.170
```